[1]
## Mg2Al4Si5O18 (PBE-GGA)

Data for crystalline Mg2Al4Si5O18 at its relaxed geometry.

Cell lengths 9.936, 9.936, 9.434 Å; angles 90.00, 90.00, 120.71 degrees
Sites, in units of the cell vectors:
1 Mg 0.163 0.837 0.250
2 Mg 0.163 0.837 0.750
3 Mg 0.837 0.163 0.250
4 Mg 0.837 0.163 0.750
5 Al 0.000 0.500 0.250
6 Al 0.000 0.500 0.750
7 Al 0.142 0.243 0.000
8 Al 0.243 0.142 0.500
9 Al 0.500 0.000 0.250
10 Al 0.500 0.000 0.750
11 Al 0.757 0.858 0.500
12 Al 0.858 0.757 0.000
13 Si 0.000 0.000 0.250
14 Si 0.000 0.000 0.750
15 Si 0.128 0.398 0.500
16 Si 0.229 0.613 0.000
17 Si 0.387 0.771 0.500
18 Si 0.398 0.128 0.000
19 Si 0.602 0.872 0.000
20 Si 0.613 0.229 0.500
21 Si 0.771 0.387 0.000
22 Si 0.872 0.602 0.500
23 O 0.017 0.363 0.358
24 O 0.017 0.363 0.642
25 O 0.021 0.146 0.151
26 O 0.021 0.146 0.849
27 O 0.146 0.021 0.349
28 O 0.146 0.021 0.651
29 O 0.150 0.644 0.142
30 O 0.150 0.644 0.858
31 O 0.193 0.437 0.000
32 O 0.208 0.295 0.500
33 O 0.257 0.585 0.500
34 O 0.295 0.208 0.000
35 O 0.356 0.850 0.358
36 O 0.356 0.850 0.642
37 O 0.363 0.017 0.142
38 O 0.363 0.017 0.858
39 O 0.415 0.743 0.000
40 O 0.437 0.193 0.500
41 O 0.563 0.807 0.500
42 O 0.585 0.257 0.000
43 O 0.637 0.983 0.142
44 O 0.637 0.983 0.858
45 O 0.644 0.150 0.358
46 O 0.644 0.150 0.642
47 O 0.705 0.792 0.000
48 O 0.743 0.415 0.500
49 O 0.792 0.705 0.500
50 O 0.807 0.563 0.000
51 O 0.850 0.356 0.142
52 O 0.850 0.356 0.858
53 O 0.854 0.979 0.349
54 O 0.854 0.979 0.651
55 O 0.979 0.854 0.151
56 O 0.979 0.854 0.849
57 O 0.983 0.637 0.358
58 O 0.983 0.637 0.642

Output
crystal system = orthorhombic
offset from the most stable computed form = 0.00 eV per formula unit
total energy = -0.277 Ha/atom
formation energy (no corrections) = -2.90 eV/atom



[2]
## LiHfCdAu (PBE-GGA)

Data for crystalline LiHfCdAu at its relaxed geometry.

Cell lengths 4.714, 4.714, 4.714 Å; angles 60.00, 60.00, 60.00 degrees
Sites, in units of the cell vectors:
1 Li 0.000 0.000 0.000
2 Hf 0.500 0.500 0.500
3 Cd 0.250 0.250 0.250
4 Au 0.750 0.750 0.750

Output
crystal system = cubic
total energy = -0.157 Ha/atom



[3]
## Be2BiAs (PBE-GGA)

Data for crystalline Be2BiAs at its relaxed geometry.

Cell lengths 4.627, 4.627, 4.627 Å; angles 60.00, 60.00, 60.00 degrees
Sites, in units of the cell vectors:
1 Be 0.250 0.250 0.250
2 Be 0.750 0.750 0.750
3 Bi 0.000 0.000 0.000
4 As 0.500 0.500 0.500

Output
crystal system = cubic
offset from the most stable computed form = 2.05 eV per formula unit
total energy = -0.119 Ha/atom



[4]
## LiAs2Ru (PBE-GGA)

Data for crystalline LiAs2Ru at its relaxed geometry.

Cell lengths 3.145, 3.145, 6.826 Å; angles 90.00, 90.00, 90.00 degrees
Sites, in units of the cell vectors:
1 Li 0.000 0.000 0.000
2 As 0.000 0.000 0.388
3 As 0.500 0.500 0.828
4 Ru 0.500 0.500 0.212

Output
crystal system = tetragonal
total energy = -0.193 Ha/atom



Number 1: spin magnetization 0.000 μB per cell. Number 2: spin magnetization 0.000 μB per cell. Number 3: spin magnetization 0.000 μB per cell. Number 4: spin magnetization 0.000 μB per cell.